No. 1
# Rb3Ho3UTe8

A relaxed structure of Rb3Ho3UTe8 (PBE-GGA, Alexandria).

```
15
Lattice="8.910 0.001 0.000 -4.454 7.721 -0.035 -0.001 -5.113 8.734" Properties=species:S:1:pos:R:3 pbc="T T T"
Rb 0.000 0.000 0.000
Rb -2.227 3.860 -0.017
Rb 2.228 3.861 -0.018
Ho 4.455 -2.556 4.367
Ho 2.227 1.304 4.350
Ho -2.227 1.304 4.350
U 0.000 -2.556 4.367
Te 0.000 2.584 2.619
Te 4.455 0.025 6.081
Te 4.455 2.578 2.634
Te 0.000 0.031 6.066
Te 6.677 -1.274 2.652
Te -2.222 3.883 6.048
Te 2.232 -1.274 2.652
Te 2.222 3.883 6.048
```

Output
The value obtained for the total magnetic moment is 2.0 μB per cell. As for the symmetry: No. 166. The value obtained for the formation energy from raw total energies is -1.227 eV/atom. As for the final energy: -71.46 eV for the cell shown.

---

No. 2
# CdFe2Br6Cl2

A relaxed structure of CdFe2Br6Cl2 (PBE-GGA, Alexandria).

```
11
Lattice="-3.927 -3.901 4.021 4.981 -2.852 -3.722 6.187 1.288 7.292" Properties=species:S:1:pos:R:3 pbc="T T T"
Cd 0.000 0.000 0.000
Fe 6.642 -2.238 4.316
Fe 0.599 -3.227 3.274
Br 5.481 -1.184 6.123
Br 8.436 -0.850 3.556
Br 7.474 -4.376 4.995
Br 1.760 -4.281 1.468
Br -1.195 -4.616 4.034
Br -0.233 -1.090 2.595
Cl 5.269 -2.524 2.698
Cl 1.972 -2.942 4.893
```

Output
The value obtained for the total magnetic moment is 10.0 μB per cell. As for the symmetry: No. 147. The value obtained for the formation energy from raw total energies is -0.614 eV/atom. As for the final energy: -38.32 eV for the cell shown.

---

No. 3
# Cs2HPbI6

A relaxed structure of Cs2HPbI6 (PBE-GGA, Alexandria).

```
10
Lattice="9.383 0.000 0.000 0.000 9.383 0.000 4.691 4.691 5.184" Properties=species:S:1:pos:R:3 pbc="T T T"
Pb 0.000 0.000 0.000
Cs 9.383 4.691 2.592
Cs 4.691 9.383 2.592
I 4.691 4.691 1.899
I 9.383 9.383 3.285
I 2.179 2.179 0.000
I 7.204 7.204 0.000
I 7.204 2.179 0.000
I 2.179 7.204 0.000
H 4.691 4.691 0.000
```

Output
The value obtained for the total magnetic moment is 0.0 μB per cell. As for the symmetry: No. 139. As for the final energy: -25.34 eV for the cell shown.

---

No. 4
# CrOs2Rh

A relaxed structure of CrOs2Rh (PBE-GGA, Alexandria).

```
4
Lattice="4.639 0.003 0.000 1.505 4.388 0.000 -3.072 -2.196 2.695" Properties=species:S:1:pos:R:3 pbc="T T T"
Cr 2.320 0.002 1.347
Os 0.000 0.000 0.000
Os 3.072 2.196 0.000
Rh 0.753 2.194 1.347
```

Output
The calculation puts the formation enthalpy at 0 K at 70.3 meV per atom. The value obtained for the total magnetic moment is 0.5 μB per cell. As for the symmetry: No. 139. The value obtained for the distance to the lowest polymorph of the same formula is 34 meV/atom. As for the final energy: -39.15 eV for the cell shown.

---

No. 5
# Li2IrSeO

A relaxed structure of Li2IrSeO (PBE-GGA, Alexandria).

```
5
Lattice="4.806 0.000 0.000 0.000 4.544 0.000 0.000 0.000 4.806" Properties=species:S:1:pos:R:3 pbc="T T T"
Ir 0.000 2.272 0.000
O 2.403 2.272 2.403
Se 0.000 0.000 0.000
Li 0.000 0.000 2.403
Li 2.403 0.000 0.000
```

Output
The value obtained for the total magnetic moment is 2.0 μB per cell. As for the symmetry: No. 123. The value obtained for the formation energy from raw total energies is 0.293 eV/atom. As for the final energy: -19.66 eV for the cell shown.

---

No. 6
# MgTaTc2

A relaxed structure of MgTaTc2 (PBE-GGA, Alexandria).

```
4
Lattice="-0.331 5.118 1.527 -0.871 1.078 5.169 3.225 -2.363 -3.557" Properties=species:S:1:pos:R:3 pbc="T T T"
Mg -0.592 3.051 3.297
Ta 1.126 3.033 0.775
Tc -0.007 0.034 0.036
Tc 0.895 0.813 2.378
```

Output
The calculation puts the formation enthalpy at 0 K at -8.9 meV per atom. The value obtained for the total magnetic moment is 0.0 μB per cell. As for the symmetry: No. 44. As for the final energy: -34.21 eV for the cell shown.